# 1
DFT (PBE) results for an optimized crystal structure of MnOs3W.

## Properties
- Formation energy: 2192 meV/atom
- Space-group type: Pm-3m (221)
- Density of states at the Fermi level: 1.2828 states/eV per atom

Unit cell a=4.7127 b=4.7127 c=4.7127 alpha=90.00 beta=90.00 gamma=90.00
Fractional positions:
Os1 0.0000 0.0000 0.5000
Os2 0.5000 0.0000 0.0000
Os3 0.0000 0.5000 0.0000
W1 0.0000 0.0000 0.0000
Mn1 0.5000 0.5000 0.5000

# 2
DFT (PBE) results for an optimized crystal structure of KPRh2.

## Properties
- Formation energy: 50 meV/atom
- Space-group type: P4mm (99)
- Density of states at the Fermi level: 1.0188 states/eV per atom

Unit cell a=2.9530 b=2.9530 c=8.2419 alpha=90.00 beta=90.00 gamma=90.01
Fractional positions:
P1 0.5000 0.5000 0.8217
Rh1 0.5000 0.5000 0.1953
Rh2 0.0000 0.0000 0.9692
K1 0.0000 0.0000 0.5139

# 3
DFT (PBE) results for an optimized crystal structure of Tb5YHo2Th.

## Properties
- Formation energy: 159 meV/atom
- Space-group type: Cmc2_1 (36)
- Density of states at the Fermi level: 1.3483 states/eV per atom

Unit cell a=5.7099 b=11.1246 c=9.7131 alpha=90.00 beta=90.00 gamma=104.87
Fractional positions:
Tb1 0.4685 0.9369 0.7428
Tb2 0.3989 0.7979 0.0421
Tb3 0.6960 0.3919 0.2173
Tb4 0.6011 0.2021 0.5421
Tb5 0.0147 0.0293 0.0174
Tb6 0.7277 0.4553 0.8221
Tb7 0.5315 0.0631 0.2428
Tb8 0.2723 0.5447 0.3221
Tb9 0.3040 0.6081 0.7173
Tb10 0.9853 0.9707 0.5174
Th1 0.4055 0.8110 0.4227
Th2 0.5945 0.1890 0.9227
Ho1 0.1161 0.2321 0.3309
Ho2 0.1284 0.2569 0.7115
Ho3 0.8716 0.7431 0.2115
Ho4 0.8839 0.7679 0.8309
Y1 0.8104 0.6209 0.5171
Y2 0.1896 0.3791 0.0171

- Which value of formation energy does entry 2 give?
  50 meV/atom